KGdSe2O8 (PBE, optimized geometry); space-group type = Pna2_1, No. 33; formation energy from raw total energies = -1.533 eV/atom; final energy = -641.63 eV/cell
1.0
5.785 0.000 0.000
0.000 9.253 0.000
0.000 0.000 27.935
O K Se Gd
64 8 16 8
direct
0.226 0.901 0.255
0.187 0.530 0.511
0.306 0.463 0.107
0.009 0.068 0.082
0.501 0.658 0.572
0.117 0.107 0.331
0.742 0.799 0.237
0.482 0.312 0.673
0.774 0.401 0.745
0.383 0.107 0.831
0.242 0.299 0.263
0.617 0.607 0.169
0.337 0.604 0.271
0.999 0.658 0.072
0.445 0.762 0.829
0.055 0.762 0.329
0.758 0.799 0.737
0.168 0.924 0.009
0.001 0.158 0.928
0.687 0.030 0.989
0.832 0.424 0.991
0.196 0.366 0.858
0.457 0.728 0.075
0.491 0.068 0.582
0.806 0.963 0.393
0.074 0.660 0.184
0.813 0.030 0.489
0.194 0.463 0.607
0.313 0.530 0.011
0.804 0.866 0.142
0.304 0.366 0.358
0.518 0.812 0.327
0.663 0.104 0.729
0.726 0.401 0.245
0.668 0.424 0.491
0.476 0.039 0.076
0.756 0.726 0.482
0.499 0.158 0.428
0.426 0.660 0.684
0.957 0.228 0.425
0.163 0.604 0.771
0.694 0.963 0.893
0.574 0.160 0.316
0.244 0.226 0.518
0.256 0.226 0.018
0.258 0.299 0.763
0.696 0.866 0.642
0.509 0.568 0.418
0.982 0.812 0.827
0.043 0.728 0.575
0.332 0.924 0.509
0.555 0.262 0.171
0.837 0.104 0.229
0.274 0.901 0.755
0.018 0.312 0.173
0.883 0.607 0.669
0.744 0.726 0.982
0.024 0.039 0.576
0.926 0.160 0.816
0.524 0.539 0.924
0.976 0.539 0.424
0.543 0.228 0.925
0.945 0.262 0.671
0.991 0.568 0.918
0.255 0.826 0.919
0.745 0.326 0.081
0.730 0.516 0.832
0.755 0.326 0.581
0.230 0.016 0.668
0.770 0.516 0.332
0.245 0.826 0.419
0.270 0.016 0.168
0.765 0.565 0.956
0.210 0.769 0.793
0.269 0.594 0.067
0.290 0.769 0.293
0.731 0.094 0.933
0.769 0.094 0.433
0.231 0.594 0.567
0.810 0.733 0.183
0.790 0.269 0.207
0.710 0.269 0.707
0.310 0.233 0.317
0.735 0.565 0.456
0.190 0.233 0.817
0.265 0.065 0.544
0.690 0.733 0.683
0.235 0.065 0.044
0.176 0.468 0.699
0.223 0.363 0.947
0.777 0.863 0.053
0.277 0.363 0.447
0.324 0.468 0.199
0.824 0.968 0.301
0.676 0.968 0.801
0.723 0.863 0.553